Entry 1:
Here is a geometry-optimized AcLa3Pm structure from Alexandria. Energies are from PBE-GGA.

The structure belongs to space group P-1 (No. 2); the cell edges are 6.1792, 6.6468 and 10.4264 Å and the angles 89.96°, 87.17° and 64.40°. Symmetry generates all atoms from Ac at (0.0498, 0.4251, 0.1712), La at (0.0650, 0.2254, 0.5386), La at (0.2715, 0.9243, 0.9176), La at (0.3835, 0.8230, 0.2474) and Pm at (0.4647, 0.7087, 0.6043).

For the spin magnetization, the calculation gives 0.00 μB per cell. For the density of states at the Fermi level, the calculation gives 16.87 states/eV/cell. As for the energy above the most stable polymorph in this dataset: 2.04 kcal/mol of atoms. As for the total DFT energy (no corrections): -46.16 eV for the cell shown. For the formation energy, the calculation gives 11 kJ per mole of atoms.



Entry 2:
Here is a geometry-optimized Ac2La5Pm structure from Alexandria. Energies are from PBE-GGA.

The structure belongs to space group Pbam (No. 55); the cell edges are 7.5442, 15.0951 and 5.3618 Å and the angles 90.00°, 90.00° and 90.00°. Symmetry generates all atoms from Ac at (0.2473, 0.1246, 0.0000), La at (0.0000, 0.5000, 0.5000), La at (0.0035, 0.7509, 0.5000), La at (0.2463, 0.3749, 0.0000) and Pm at (0.0000, 0.0000, 0.5000).

For the spin magnetization, the calculation gives 0.00 μB per cell. For the density of states at the Fermi level, the calculation gives 29.51 states/eV/cell. As for the total DFT energy (no corrections): -74.96 eV for the cell shown. For the formation energy, the calculation gives 2 kJ per mole of atoms.



Entry 3:
Here is a geometry-optimized Ac2La3Pm7 structure from Alexandria. Energies are from PBE-GGA.

The structure belongs to space group P2/m (No. 10); the cell edges are 6.6000, 3.6892 and 18.3640 Å and the angles 90.00°, 96.72° and 90.00°. Symmetry generates all atoms from Ac at (0.0514, 0.0000, 0.1736), La at (0.4563, 0.5000, 0.8385), La at (0.5000, 0.0000, 0.5000), Pm at (0.0000, 0.5000, 0.5000), Pm at (0.2298, 0.0000, 0.6631), Pm at (0.2582, 0.0000, 0.0015) and Pm at (0.2752, 0.5000, 0.3385).

For the spin magnetization, the calculation gives 0.00 μB per cell. For the density of states at the Fermi level, the calculation gives 20.09 states/eV/cell. As for the total DFT energy (no corrections): -55.22 eV for the cell shown. For the formation energy, the calculation gives 8 kJ per mole of atoms.